A relaxed CaCdSnO4 crystal, computed with PBE.

Results
The total DFT energy (no corrections) comes out at -5.705 eV/atom. The formation energy (no corrections) comes out at -1.883 eV per atom. As for the space-group type: Imma (74). The total moment comes out at 0.000 μB per atom.

Lattice parameters (Å, degrees): 6.621 6.722 6.498 118.91 90.00 119.51
Positions (direct):
Cd1 0.500 0.500 0.500
Cd2 0.000 0.500 0.500
O1 0.716 0.002 0.251
Sn1 0.500 0.000 0.000
O2 0.713 0.426 0.705
O3 0.713 0.426 0.221
O4 0.284 0.998 0.749
Ca1 0.862 0.725 0.112
O5 0.286 0.002 0.251
O6 0.714 0.998 0.749
Sn2 0.500 0.000 0.500
O7 0.287 0.574 0.295
Ca2 0.138 0.275 0.888
O8 0.287 0.574 0.779

***

A relaxed TcIrW2 crystal, computed with PBE.

Results
The total DFT energy (no corrections) comes out at -11.267 eV/atom. As for the relative energy among the computed polymorphs: 86 meV per atom. For the formation energy, the calculation gives 0.016 eV per atom. As for the space-group type: C2/m (12). The total moment comes out at 0.000 μB per atom.

Lattice parameters (Å, degrees): 4.813 4.813 4.871 80.81 80.81 33.57
Positions (direct):
Ir1 0.750 0.750 0.750
Tc1 0.250 0.250 0.250
W1 0.496 0.496 0.502
W2 0.004 0.004 0.998

***

A relaxed La9PrTh4 crystal, computed with PBE.

Results
The total DFT energy (no corrections) comes out at -5.516 eV/atom. For the formation energy, the calculation gives 0.113 eV per atom. As for the space-group type: P6_3/mmc (194). The total moment comes out at 0.000 μB per atom.

Lattice parameters (Å, degrees): 11.104 10.261 10.261 120.00 90.00 90.00
Positions (direct):
Th1 0.750 0.889 0.111
La1 0.750 0.542 0.084
Pr1 0.750 0.333 0.667
Th2 0.000 0.000 0.000
La2 0.955 0.198 0.802
Th3 0.750 0.223 0.111
La3 0.545 0.198 0.802
La4 0.045 0.802 0.198
La5 0.545 0.198 0.396
La6 0.455 0.802 0.604
Th4 0.500 0.000 0.000
Pr2 0.250 0.667 0.333
La7 0.955 0.604 0.802
Th5 0.250 0.111 0.223
La8 0.455 0.396 0.198
La9 0.250 0.084 0.542
La10 0.045 0.802 0.604
La11 0.955 0.198 0.396
Th6 0.750 0.889 0.777
La12 0.455 0.802 0.198
La13 0.250 0.458 0.916
La14 0.545 0.604 0.802
La15 0.750 0.542 0.458
Th7 0.250 0.777 0.889
Th8 0.250 0.111 0.889
La16 0.750 0.916 0.458
La17 0.045 0.396 0.198
La18 0.250 0.458 0.542

***

A relaxed Al2ReOs crystal, computed with PBE.

Results
The total DFT energy (no corrections) comes out at -8.023 eV/atom. As for the relative energy among the computed polymorphs: 0 meV per atom. For the formation energy, the calculation gives -0.233 eV per atom. As for the space-group type: Cm (8). The total moment comes out at 0.000 μB per atom.

Lattice parameters (Å, degrees): 4.910 4.910 4.451 72.60 72.60 34.50
Positions (direct):
Al1 0.239 0.239 0.295
Al2 0.009 0.009 0.958
Re1 0.760 0.760 0.788
Os1 0.493 0.493 0.458

***

A relaxed NbGe2B crystal, computed with PBE.

Results
The total DFT energy (no corrections) comes out at -6.148 eV/atom. For the formation energy, the calculation gives 0.348 eV per atom. As for the space-group type: I-42d (122). The total moment comes out at 0.000 μB per atom.

Lattice parameters (Å, degrees): 6.552 6.552 5.380 52.49 52.49 90.00
Positions (direct):
Ge1 0.375 0.452 0.750
Ge2 0.202 0.625 0.250
B1 0.250 0.750 0.500
B2 0.500 0.500 0.000
Nb1 0.750 0.250 0.500
Ge3 0.548 0.125 0.250
Nb2 0.000 0.000 0.000
Ge4 0.875 0.798 0.750

***

A relaxed La4ZrSi crystal, computed with PBE.

Results
The total DFT energy (no corrections) comes out at -5.083 eV/atom. The formation energy (no corrections) comes out at 0.530 eV per atom. As for the space-group type: F-43m (216). The total moment comes out at 0.266 μB per atom.

Lattice parameters (Å, degrees): 6.375 6.375 6.375 60.00 60.00 60.00
Positions (direct):
La1 0.876 0.375 0.375
La2 0.375 0.375 0.876
Si1 0.750 0.750 0.750
Zr1 0.000 0.000 0.000
La3 0.375 0.375 0.375
La4 0.375 0.876 0.375